[1]
VASP calculation (PBEsol) on an optimized crystal structure of Be2AlPd2.

Output
Space group ... No. 127
Calculated total energy ... -53.92 eV/cell

Unit cell a=2.8265 b=6.4401 c=6.4401 alpha=90.00 beta=90.00 gamma=90.00
Atoms (fractional coordinates):
Be 0.0000 0.3793 0.8793
Be 0.0000 0.8793 0.6207
Be 0.0000 0.6207 0.1207
Be 0.0000 0.1207 0.3793
Al 0.0000 0.0000 0.0000
Al 0.0000 0.5000 0.5000
Pd 0.5000 0.1728 0.6728
Pd 0.5000 0.6728 0.8272
Pd 0.5000 0.8272 0.3272
Pd 0.5000 0.3272 0.1728

***

[2]
VASP calculation (PBEsol) on an optimized crystal structure of Li2SbPb.

Output
Space group ... No. 65
Raw formation energy ... -34.4 kJ per mole of atoms

Unit cell a=3.1254 b=5.3497 c=5.3497 alpha=104.80 beta=90.00 gamma=90.00
Atoms (fractional coordinates):
Pb 0.5000 0.5000 0.5000
Sb 0.5000 0.0000 0.0000
Li 0.0000 0.0000 0.5000
Li 0.0000 0.5000 0.0000

***

[3]
VASP calculation (PBEsol) on an optimized crystal structure of CaTl3Ge.

Output
Space group ... No. 221
Calculated total energy ... -14.18 eV/cell

Unit cell a=5.4249 b=5.4249 c=5.4249 alpha=90.00 beta=90.00 gamma=90.00
Atoms (fractional coordinates):
Tl 0.0000 0.5000 0.0000
Tl 0.0000 0.0000 0.5000
Tl 0.5000 0.0000 0.0000
Ca 0.5000 0.5000 0.5000
Ge 0.0000 0.0000 0.0000

***

[4]
VASP calculation (PBEsol) on an optimized crystal structure of AlH2Ru2.

Output
Space group ... No. 139
Calculated total energy ... -31.80 eV/cell

Unit cell a=2.9840 b=2.9840 c=5.5550 alpha=105.58 beta=105.58 gamma=90.00
Atoms (fractional coordinates):
Ru 0.3564 0.3564 0.7128
Ru 0.6436 0.6436 0.2872
Al 0.0000 0.0000 0.0000
H 0.2500 0.7500 0.5000
H 0.7500 0.2500 0.5000

***

[5]
VASP calculation (PBEsol) on an optimized crystal structure of HfHgTeI2.

Output
Space group ... No. 123
Raw formation energy ... 77.4 kJ per mole of atoms

Unit cell a=5.5392 b=5.5392 c=5.5794 alpha=90.00 beta=90.00 gamma=90.00
Atoms (fractional coordinates):
I 0.0000 0.5000 0.0000
I 0.5000 0.0000 0.0000
Te 0.0000 0.0000 0.5000
Hf 0.5000 0.5000 0.5000
Hg 0.0000 0.0000 0.0000

***

[6]
VASP calculation (PBEsol) on an optimized crystal structure of CdGaPS2.

Output
Space group ... No. 123
Raw formation energy ... 44.1 kJ per mole of atoms

Unit cell a=4.6780 b=4.6780 c=4.6315 alpha=90.00 beta=90.00 gamma=90.00
Atoms (fractional coordinates):
P 0.0000 0.0000 0.5000
S 0.0000 0.5000 0.0000
S 0.5000 0.0000 0.0000
Ga 0.0000 0.0000 0.0000
Cd 0.5000 0.5000 0.5000

***

[7]
VASP calculation (PBEsol) on an optimized crystal structure of KTlMoRh2.

Output
Space group ... No. 123
Calculated total energy ... -22.84 eV/cell

Unit cell a=5.0345 b=5.0345 c=5.2356 alpha=90.00 beta=90.00 gamma=90.00
Atoms (fractional coordinates):
K 0.5000 0.5000 0.5000
Tl 0.0000 0.0000 0.0000
Rh 0.0000 0.5000 0.0000
Rh 0.5000 0.0000 0.0000
Mo 0.0000 0.0000 0.5000

***

[8]
VASP calculation (PBEsol) on an optimized crystal structure of CuNi2.

Output
Space group ... No. 164
Calculated total energy ... -16.59 eV/cell

Unit cell a=2.4615 b=2.4615 c=6.0619 alpha=90.00 beta=90.00 gamma=120.00
Atoms (fractional coordinates):
Ni 0.6667 0.3333 0.6630
Ni 0.3333 0.6667 0.3370
Cu 0.0000 0.0000 0.0000

***

[9]
VASP calculation (PBEsol) on an optimized crystal structure of SrLiSi2.

Output
Space group ... No. 44
Raw formation energy ... -30.1 kJ per mole of atoms

Unit cell a=3.7369 b=4.3260 c=6.2554 alpha=110.23 beta=107.38 gamma=90.00
Atoms (fractional coordinates):
Sr 0.4654 0.4654 0.9309
Si 0.0915 0.0915 0.1830
Si 0.7219 0.2219 0.4439
Li 0.2211 0.7211 0.4422

***

[10]
VASP calculation (PBEsol) on an optimized crystal structure of TaInRe2.

Output
Space group ... No. 123
Calculated total energy ... -41.48 eV/cell

Unit cell a=3.2540 b=3.2540 c=6.2224 alpha=90.00 beta=90.00 gamma=90.00
Atoms (fractional coordinates):
In 0.5000 0.5000 0.5000
Re 0.0000 0.0000 0.7648
Re 0.0000 0.0000 0.2352
Ta 0.5000 0.5000 0.0000

***

[11]
VASP calculation (PBEsol) on an optimized crystal structure of Ga3NiPt.

Output
Space group ... No. 221
Calculated total energy ... -21.32 eV/cell

Unit cell a=4.7026 b=4.7026 c=4.7026 alpha=90.00 beta=90.00 gamma=90.00
Atoms (fractional coordinates):
Ni 0.5000 0.5000 0.5000
Ga 0.0000 0.5000 0.0000
Ga 0.0000 0.0000 0.5000
Ga 0.5000 0.0000 0.0000
Pt 0.0000 0.0000 0.0000

***

[12]
VASP calculation (PBEsol) on an optimized crystal structure of AgSn2Au2.

Output
Space group ... No. 139
Calculated total energy ... -18.61 eV/cell

Unit cell a=4.2989 b=4.2989 c=6.8586 alpha=108.26 beta=108.26 gamma=90.00
Atoms (fractional coordinates):
Au 0.3951 0.3951 0.7902
Au 0.6049 0.6049 0.2098
Sn 0.2500 0.7500 0.5000
Sn 0.7500 0.2500 0.5000
Ag 0.0000 0.0000 0.0000

***

Total magnetization per entry: 0.00, 0.00, 0.00, 0.00, 0.98, 0.00, 4.60, 0.94, 0.00, 0.00, 0.37, 0.00 Bohr magnetons per cell